Entry from the Alexandria database: a geometry-optimized MgCoHO2 structure (PBE with a Hubbard U).

The total energy comes out at -4.975 eV per atom.

The structure belongs to space group P4/mmm (No. 123); the cell edges are 3.830, 3.830 and 3.095 Å and the angles 90.00°, 90.00° and 90.00°. The distinct sites, in fractional coordinates, are Mg at (0.000, 0.000, 0.000), Co at (0.500, 0.500, 0.500), H at (0.500, 0.500, 0.000) and O at (0.000, 0.500, 0.500).